Here is GaHSe2N after structural relaxation from the Alexandria database. Energies are from PBE.

Structure (POSCAR):
```
GaHSe2N
1.0
-2.808 2.701 3.608
-3.482 -3.999 0.283
1.935 -1.499 2.628
Se N H Ga
2 1 1 1
Cartesian
-1.404 1.350 1.804
-1.741 -2.000 0.142
0.968 -0.749 1.314
-2.178 -1.399 3.260
0.000 0.000 0.000
```

- VASP energy (Ry/atom) = -0.225
- space-group type = P4/mmm, No. 123
- crystal system = tetragonal
- N(E_F) (states/eV/f.u.) = 4.31
- relative energy among the computed polymorphs (meV/atom) = 101